(1)
VASP calculation (PBE) on an optimized crystal structure of Te2PbWI.

Cell: 5.366 5.366 5.606 Å, 90.00 90.00 90.00°
Fractional positions:
Te 0.000 0.500 0.000
Te 0.500 0.000 0.000
Pb 0.000 0.000 0.500
W 0.500 0.500 0.000
I 0.500 0.500 0.500

Computed properties:
The formation energy without anion corrections is 516 meV per atom. The calculation puts the total magnetization at 0.402 μB/atom.

=====

(2)
VASP calculation (PBE) on an optimized crystal structure of AsRhPb2.

Cell: 3.400 4.625 12.186 Å, 90.00 90.00 90.00°
Fractional positions:
As 0.000 0.000 0.000
As 0.500 0.500 0.500
Rh 0.000 0.500 0.355
Rh 0.500 0.000 0.855
Pb 0.000 0.000 0.611
Pb 0.000 0.500 0.805
Pb 0.500 0.000 0.305
Pb 0.500 0.500 0.111

Computed properties:
The value obtained for the formation enthalpy at 0 K is -0.3 kcal/mol of atoms. The calculation puts the total magnetization at 0.000 μB/atom.

=====

(3)
VASP calculation (PBE) on an optimized crystal structure of Pr2Tl2Cd15.

Cell: 7.745 7.745 7.745 Å, 84.04 84.04 84.04°
Fractional positions:
Pr 0.167 0.167 0.167
Pr 0.833 0.833 0.833
Tl 0.397 0.397 0.397
Tl 0.603 0.603 0.603
Cd 0.000 0.500 0.500
Cd 0.144 0.144 0.672
Cd 0.144 0.672 0.144
Cd 0.187 0.500 0.813
Cd 0.187 0.813 0.500
Cd 0.328 0.856 0.856
Cd 0.500 0.000 0.500
Cd 0.500 0.187 0.813
Cd 0.500 0.500 0.000
Cd 0.500 0.813 0.187
Cd 0.672 0.144 0.144
Cd 0.813 0.187 0.500
Cd 0.813 0.500 0.187
Cd 0.856 0.328 0.856
Cd 0.856 0.856 0.328

Computed properties:
The value obtained for the formation enthalpy at 0 K is -3.0 kcal/mol of atoms. The calculation puts the total magnetization at 0.000 μB/atom.

=====

(4)
VASP calculation (PBE) on an optimized crystal structure of Zn3SnH.

Cell: 4.271 4.271 4.271 Å, 90.00 90.00 90.00°
Fractional positions:
Zn 0.000 0.000 0.500
Zn 0.000 0.500 0.000
Zn 0.500 0.000 0.000
Sn 0.500 0.500 0.500
H 0.000 0.000 0.000

Computed properties:
The total energy comes out at -1.94 eV per atom. The calculation puts the total magnetization at 0.000 μB/atom.

=====

Q: Which of these has the highest total magnetization?
A: Te2PbWI